# Ac8Pr3Er2 (PBE, relaxed)
# E_form	4.97	kcal/mol of atoms
# energy	-53.532	eV per cell
# V	560.8	Å³ per cell
# SG	C2/m
data_Ac8Pr3Er2
_chemical_formula_sum 'Ac8 Pr3 Er2'
_cell_length_a 7.311
_cell_length_b 10.313
_cell_length_c 10.313
_cell_angle_alpha 57.87
_cell_angle_beta 62.71
_cell_angle_gamma 62.71
_space_group_name_H-M_alt 'P 1'
_space_group_IT_number 1
_space_group_name_Hall 'P 1'
loop_
_atom_site_label
_atom_site_type_symbol
_atom_site_fract_x
_atom_site_fract_y
_atom_site_fract_z
Ac1 Ac 0.999 0.604 0.604
Ac2 Ac 0.543 0.196 0.562
Ac3 Ac 0.001 0.396 0.396
Ac4 Ac 0.016 0.188 0.188
Ac5 Ac 0.543 0.562 0.196
Ac6 Ac 0.984 0.812 0.812
Ac7 Ac 0.457 0.804 0.438
Ac8 Ac 0.457 0.438 0.804
Pr1 Pr 0.500 0.000 0.000
Pr2 Pr 0.000 0.836 0.164
Pr3 Pr 0.000 0.164 0.836
Er1 Er 0.540 0.187 0.187
Er2 Er 0.460 0.813 0.813

# Ac2Pr7Er3 (PBE, relaxed)
# E_form	1.94	kcal/mol of atoms
# energy	-54.354	eV per cell
# V	435.6	Å³ per cell
# SG	P2/m
data_Ac2Pr7Er3
_chemical_formula_sum 'Ac2 Pr7 Er3'
_cell_length_a 3.666
_cell_length_b 6.577
_cell_length_c 18.670
_cell_angle_alpha 104.58
_cell_angle_beta 90.00
_cell_angle_gamma 90.00
_space_group_name_H-M_alt 'P 1'
_space_group_IT_number 1
_space_group_name_Hall 'P 1'
loop_
_atom_site_label
_atom_site_type_symbol
_atom_site_fract_x
_atom_site_fract_y
_atom_site_fract_z
Er1 Er 0.500 0.500 0.000
Er2 Er 0.000 0.890 0.340
Er3 Er 0.000 0.110 0.660
Ac1 Ac 0.500 0.610 0.672
Ac2 Ac 0.500 0.390 0.328
Pr1 Pr 0.500 0.766 0.504
Pr2 Pr 0.500 0.935 0.167
Pr3 Pr 0.500 0.234 0.496
Pr4 Pr 0.000 0.558 0.840
Pr5 Pr 0.500 0.065 0.833
Pr6 Pr 0.000 0.000 0.000
Pr7 Pr 0.000 0.442 0.160

# Ac4Pr7Er (PBE, relaxed)
# E_form	0.79	kcal/mol of atoms
# energy	-54.040	eV per cell
# V	464.0	Å³ per cell
# SG	P-1
data_Ac4Pr7Er
_chemical_formula_sum 'Ac4 Pr7 Er1'
_cell_length_a 7.588
_cell_length_b 10.053
_cell_length_c 9.500
_cell_angle_alpha 81.11
_cell_angle_beta 89.89
_cell_angle_gamma 41.16
_space_group_name_H-M_alt 'P 1'
_space_group_IT_number 1
_space_group_name_Hall 'P 1'
loop_
_atom_site_label
_atom_site_type_symbol
_atom_site_fract_x
_atom_site_fract_y
_atom_site_fract_z
Ac1 Ac 0.522 0.718 0.328
Ac2 Ac 0.275 0.225 0.329
Ac3 Ac 0.478 0.282 0.672
Ac4 Ac 0.725 0.775 0.671
Pr1 Pr 0.500 0.000 0.000
Pr2 Pr 0.216 0.785 0.674
Pr3 Pr 0.252 0.504 0.003
Pr4 Pr 0.748 0.496 0.997
Pr5 Pr 0.784 0.215 0.326
Pr6 Pr 0.972 0.275 0.677
Pr7 Pr 0.028 0.725 0.323
Er1 Er 0.000 0.000 0.000

# Ac4Pr3Er2 (PBE, relaxed)
# E_form	0.97	kcal/mol of atoms
# energy	-39.520	eV per cell
# V	347.5	Å³ per cell
# SG	C2/m
data_Ac4Pr3Er2
_chemical_formula_sum 'Ac4 Pr3 Er2'
_cell_length_a 5.412
_cell_length_b 6.499
_cell_length_c 11.363
_cell_angle_alpha 74.60
_cell_angle_beta 90.01
_cell_angle_gamma 65.37
_space_group_name_H-M_alt 'P 1'
_space_group_IT_number 1
_space_group_name_Hall 'P 1'
loop_
_atom_site_label
_atom_site_type_symbol
_atom_site_fract_x
_atom_site_fract_y
_atom_site_fract_z
Pr1 Pr 0.000 0.000 0.000
Pr2 Pr 0.667 0.666 0.553
Pr3 Pr 0.333 0.334 0.447
Ac1 Ac 0.002 0.997 0.331
Ac2 Ac 0.998 0.003 0.669
Ac3 Ac 0.334 0.333 0.111
Ac4 Ac 0.666 0.667 0.889
Er1 Er 0.670 0.659 0.227
Er2 Er 0.330 0.341 0.773

# AcPr4Er5 (PBE, relaxed)
# E_form	0.75	kcal/mol of atoms
# energy	-45.716	eV per cell
# V	340.4	Å³ per cell
# SG	P4/mmm
data_AcPr4Er5
_chemical_formula_sum 'Ac1 Pr4 Er5'
_cell_length_a 3.677
_cell_length_b 3.677
_cell_length_c 25.174
_cell_angle_alpha 90.00
_cell_angle_beta 90.00
_cell_angle_gamma 90.00
_space_group_name_H-M_alt 'P 1'
_space_group_IT_number 1
_space_group_name_Hall 'P 1'
loop_
_atom_site_label
_atom_site_type_symbol
_atom_site_fract_x
_atom_site_fract_y
_atom_site_fract_z
Pr1 Pr 0.000 0.000 0.796
Pr2 Pr 0.000 0.000 0.401
Pr3 Pr 0.000 0.000 0.599
Pr4 Pr 0.000 0.000 0.204
Er1 Er 0.500 0.500 0.303
Er2 Er 0.500 0.500 0.500
Er3 Er 0.500 0.500 0.894
Er4 Er 0.500 0.500 0.697
Er5 Er 0.500 0.500 0.106
Ac1 Ac 0.000 0.000 0.000

# Ac2Pr2Er (PBE, relaxed)
# E_form	10.55	kcal/mol of atoms
# energy	-20.052	eV per cell
# ΔE to the lowest computed polymorph	0.259	eV per atom
# V	206.6	Å³ per cell
# SG	I4/mmm
data_Ac2Pr2Er
_chemical_formula_sum 'Ac2 Pr2 Er1'
_cell_length_a 4.949
_cell_length_b 4.949
_cell_length_c 9.132
_cell_angle_alpha 105.72
_cell_angle_beta 105.72
_cell_angle_gamma 90.00
_space_group_name_H-M_alt 'P 1'
_space_group_IT_number 1
_space_group_name_Hall 'P 1'
loop_
_atom_site_label
_atom_site_type_symbol
_atom_site_fract_x
_atom_site_fract_y
_atom_site_fract_z
Pr1 Pr 0.591 0.591 0.181
Pr2 Pr 0.409 0.409 0.819
Er1 Er 0.000 0.000 0.000
Ac1 Ac 0.750 0.250 0.500
Ac2 Ac 0.250 0.750 0.500

# AcPrEr6 (PBE, relaxed)
# E_form	9.33	kcal/mol of atoms
# energy	-33.029	eV per cell
# V	293.1	Å³ per cell
# SG	C2/m
data_AcPrEr6
_chemical_formula_sum 'Ac1 Pr1 Er6'
_cell_length_a 6.002
_cell_length_b 6.002
_cell_length_c 8.844
_cell_angle_alpha 79.72
_cell_angle_beta 79.72
_cell_angle_gamma 70.52
_space_group_name_H-M_alt 'P 1'
_space_group_IT_number 1
_space_group_name_Hall 'P 1'
loop_
_atom_site_label
_atom_site_type_symbol
_atom_site_fract_x
_atom_site_fract_y
_atom_site_fract_z
Er1 Er 0.477 0.956 0.702
Er2 Er 0.624 0.624 0.079
Er3 Er 0.044 0.523 0.298
Er4 Er 0.376 0.376 0.921
Er5 Er 0.523 0.044 0.298
Er6 Er 0.956 0.477 0.702
Pr1 Pr 0.500 0.500 0.500
Ac1 Ac 0.000 0.000 0.000

# Ac3Pr2Er3 (PBE, relaxed)
# E_form	4.36	kcal/mol of atoms
# energy	-68.119	eV per cell
# V	608.7	Å³ per cell
# SG	P6_3/mcm
data_Ac3Pr2Er3
_chemical_formula_sum 'Ac6 Pr4 Er6'
_cell_length_a 6.791
_cell_length_b 10.173
_cell_length_c 10.173
_cell_angle_alpha 60.00
_cell_angle_beta 90.00
_cell_angle_gamma 90.00
_space_group_name_H-M_alt 'P 1'
_space_group_IT_number 1
_space_group_name_Hall 'P 1'
loop_
_atom_site_label
_atom_site_type_symbol
_atom_site_fract_x
_atom_site_fract_y
_atom_site_fract_z
Er1 Er 0.750 0.587 0.413
Er2 Er 0.250 0.000 0.413
Er3 Er 0.250 0.587 0.000
Er4 Er 0.750 0.000 0.587
Er5 Er 0.250 0.413 0.587
Er6 Er 0.750 0.413 0.000
Pr1 Pr 0.500 0.333 0.333
Pr2 Pr 0.000 0.333 0.333
Pr3 Pr 0.500 0.667 0.667
Pr4 Pr 0.000 0.667 0.667
Ac1 Ac 0.250 0.000 0.767
Ac2 Ac 0.750 0.767 0.000
Ac3 Ac 0.250 0.233 0.000
Ac4 Ac 0.250 0.767 0.233
Ac5 Ac 0.750 0.233 0.767
Ac6 Ac 0.750 0.000 0.233

# Ac2Pr5Er (PBE, relaxed)
# E_form	0.65	kcal/mol of atoms
# energy	-36.450	eV per cell
# ΔE to the lowest computed polymorph	0.004	eV per atom
# V	300.3	Å³ per cell
# SG	I4/mmm
data_Ac2Pr5Er
_chemical_formula_sum 'Ac2 Pr5 Er1'
_cell_length_a 5.334
_cell_length_b 5.334
_cell_length_c 11.208
_cell_angle_alpha 103.77
_cell_angle_beta 103.77
_cell_angle_gamma 90.00
_space_group_name_H-M_alt 'P 1'
_space_group_IT_number 1
_space_group_name_Hall 'P 1'
loop_
_atom_site_label
_atom_site_type_symbol
_atom_site_fract_x
_atom_site_fract_y
_atom_site_fract_z
Ac1 Ac 0.750 0.750 0.500
Ac2 Ac 0.250 0.250 0.500
Pr1 Pr 0.881 0.381 0.762
Pr2 Pr 0.500 0.500 0.000
Pr3 Pr 0.381 0.881 0.762
Pr4 Pr 0.119 0.619 0.238
Pr5 Pr 0.619 0.119 0.238
Er1 Er 0.000 0.000 0.000

# Ac2Pr5Er3 (PBE, relaxed)
# E_form	4.24	kcal/mol of atoms
# energy	-87.925	eV per cell
# V	751.3	Å³ per cell
# SG	C2/c
data_Ac2Pr5Er3
_chemical_formula_sum 'Ac4 Pr10 Er6'
_cell_length_a 11.876
_cell_length_b 10.304
_cell_length_c 12.384
_cell_angle_alpha 133.78
_cell_angle_beta 135.96
_cell_angle_gamma 54.87
_space_group_name_H-M_alt 'P 1'
_space_group_IT_number 1
_space_group_name_Hall 'P 1'
loop_
_atom_site_label
_atom_site_type_symbol
_atom_site_fract_x
_atom_site_fract_y
_atom_site_fract_z
Ac1 Ac 0.861 0.867 0.725
Ac2 Ac 0.364 0.858 0.725
Ac3 Ac 0.636 0.142 0.275
Ac4 Ac 0.139 0.133 0.275
Pr1 Pr 0.781 0.571 0.754
Pr2 Pr 0.751 0.501 0.003
Pr3 Pr 0.473 0.183 0.754
Pr4 Pr 0.249 0.499 0.997
Pr5 Pr 0.527 0.817 0.246
Pr6 Pr 0.028 0.278 0.555
Pr7 Pr 0.972 0.722 0.445
Pr8 Pr 0.535 0.285 0.570
Pr9 Pr 0.465 0.715 0.430
Pr10 Pr 0.219 0.429 0.246
Er1 Er 0.722 0.443 0.257
Er2 Er 0.278 0.557 0.743
Er3 Er 0.035 0.814 0.257
Er4 Er 0.242 0.992 0.984
Er5 Er 0.965 0.186 0.743
Er6 Er 0.758 0.008 0.016

# AcPr10Er6 (PBE, relaxed)
# E_form	3.10	kcal/mol of atoms
# energy	-76.998	eV per cell
# V	600.2	Å³ per cell
# SG	P-31m
data_AcPr10Er6
_chemical_formula_sum 'Ac1 Pr10 Er6'
_cell_length_a 6.978
_cell_length_b 9.966
_cell_length_c 9.966
_cell_angle_alpha 120.00
_cell_angle_beta 90.00
_cell_angle_gamma 90.00
_space_group_name_H-M_alt 'P 1'
_space_group_IT_number 1
_space_group_name_Hall 'P 1'
loop_
_atom_site_label
_atom_site_type_symbol
_atom_site_fract_x
_atom_site_fract_y
_atom_site_fract_z
Er1 Er 0.320 0.633 0.633
Er2 Er 0.320 0.367 0.000
Er3 Er 0.680 0.000 0.633
Er4 Er 0.680 0.633 0.000
Er5 Er 0.680 0.367 0.367
Er6 Er 0.320 0.000 0.367
Pr1 Pr 0.172 0.283 0.283
Pr2 Pr 0.172 0.000 0.717
Pr3 Pr 0.828 0.283 0.000
Pr4 Pr 0.000 0.333 0.667
Pr5 Pr 0.172 0.717 0.000
Pr6 Pr 0.828 0.717 0.717
Pr7 Pr 0.500 0.333 0.667
Pr8 Pr 0.500 0.667 0.333
Pr9 Pr 0.828 0.000 0.283
Pr10 Pr 0.000 0.667 0.333
Ac1 Ac 0.500 0.000 0.000

# Ac15Pr4Er (PBE, relaxed)
# E_form	0.58	kcal/mol of atoms
# energy	-84.800	eV per cell
# V	847.9	Å³ per cell
# SG	P4/mmm
data_Ac15Pr4Er
_chemical_formula_sum 'Ac15 Pr4 Er1'
_cell_length_a 5.541
_cell_length_b 5.541
_cell_length_c 27.618
_cell_angle_alpha 90.00
_cell_angle_beta 90.00
_cell_angle_gamma 90.00
_space_group_name_H-M_alt 'P 1'
_space_group_IT_number 1
_space_group_name_Hall 'P 1'
loop_
_atom_site_label
_atom_site_type_symbol
_atom_site_fract_x
_atom_site_fract_y
_atom_site_fract_z
Ac1 Ac 0.500 0.000 0.500
Ac2 Ac 0.500 0.000 0.098
Ac3 Ac 0.000 0.500 0.299
Ac4 Ac 0.500 0.500 0.199
Ac5 Ac 0.500 0.500 0.600
Ac6 Ac 0.500 0.500 0.400
Ac7 Ac 0.000 0.500 0.098
Ac8 Ac 0.500 0.500 0.000
Ac9 Ac 0.500 0.000 0.902
Ac10 Ac 0.000 0.500 0.902
Ac11 Ac 0.500 0.000 0.701
Ac12 Ac 0.500 0.500 0.801
Ac13 Ac 0.000 0.500 0.500
Ac14 Ac 0.500 0.000 0.299
Ac15 Ac 0.000 0.500 0.701
Pr1 Pr 0.000 0.000 0.198
Pr2 Pr 0.000 0.000 0.400
Pr3 Pr 0.000 0.000 0.802
Pr4 Pr 0.000 0.000 0.600
Er1 Er 0.000 0.000 0.000